A relaxed Ba3VO6 crystal. Source: Alexandria via LeMat-Bulk, functional PBE+U.

a = 10.5932 Å, b = 13.3661 Å, c = 5.8468 Å
α = 90.00°, β = 90.00°, γ = 90.00°
Closest atoms and distances in Å follow each position.
Space group Cmc2_1 (No. 36)
One atom of each set of equivalent atoms:
Ba 0.0000 0.1058 0.0000 [4 per cell]  6 O 2.66-2.95
Ba 0.1955 0.3893 0.0299 [8 per cell]  5 O 2.56-2.82
V 0.0000 0.3044 0.5742 [4 per cell]  4 O 1.74-1.76
O 0.0000 0.2964 0.2741 [4 per cell]  1 V 1.76
O 0.0000 0.4270 0.6767 [4 per cell]  1 V 1.74
O 0.1325 0.2462 0.6944 [8 per cell]  1 V 1.75
O 0.1612 0.0080 0.2669 [8 per cell]  4 Ba 2.56-2.66

Properties
size of the total moment	1.00	μB per formula unit
E_tot	-6.69	eV per atom
calculated volume	206.96	Å³/f.u.